A plane-wave DFT calculation with PBE-GGA was carried out for an optimized crystal structure of MnPtAu3.

Summary:
Spin magnetization ... 5.05 μB/f.u.
Density ... 10.8 g/cm3

Lattice parameters (Å, degrees): 5.059 5.059 5.059 90.00 90.00 90.00
Space group Pm-3m (No. 221)
Asymmetric unit:
Mn: 0.000 0.000 0.000 x1
Pt: 0.500 0.500 0.500 x1
Au: 0.000 0.500 0.500 x3

=====

A plane-wave DFT calculation with PBE-GGA was carried out for an optimized crystal structure of Mn3Pt12Au.

Summary:
Spin magnetization ... 13.06 μB/f.u.
Density ... 18.2 g/cm3

Lattice parameters (Å, degrees): 3.939 3.939 15.915 90.00 90.00 90.00
Space group P4/mmm (No. 123)
Asymmetric unit:
Mn: 0.000 0.000 0.000 x1
Mn: 0.000 0.000 0.248 x2
Pt: 0.000 0.500 0.123 x4
Pt: 0.000 0.500 0.368 x4
Pt: 0.500 0.500 0.000 x1
Pt: 0.500 0.500 0.246 x2
Pt: 0.500 0.500 0.500 x1
Au: 0.000 0.000 0.500 x1

=====

A plane-wave DFT calculation with PBE-GGA was carried out for an optimized crystal structure of Mn2Pt2Au.

Summary:
Spin magnetization ... 8.31 μB/f.u.
Density ... 14.8 g/cm3

Lattice parameters (Å, degrees): 8.819 3.936 6.140 90.00 132.73 90.00
Space group C2/m (No. 12)
Asymmetric unit:
Mn: 0.084 0.000 0.286 x4
Pt: 0.200 0.500 0.118 x4
Au: 0.000 0.500 0.500 x2

=====

A plane-wave DFT calculation with PBE-GGA was carried out for an optimized crystal structure of Mn2PtAu.

Summary:
Spin magnetization ... 8.14 μB/f.u.
Density ... 13.3 g/cm3

Lattice parameters (Å, degrees): 3.893 3.893 8.261 90.00 90.00 90.00
Space group I-4m2 (No. 119)
Asymmetric unit:
Mn: 0.000 0.000 0.000 x2
Mn: 0.000 0.500 0.250 x2
Pt: 0.000 0.000 0.500 x2
Au: 0.000 0.500 0.750 x2

=====

A plane-wave DFT calculation with PBE-GGA was carried out for an optimized crystal structure of Mn2PtAu.

Summary:
Spin magnetization ... 8.45 μB/f.u.
Density ... 13.1 g/cm3

Lattice parameters (Å, degrees): 4.609 4.609 2.984 90.00 90.00 90.00
Space group P4/mmm (No. 123)
Asymmetric unit:
Mn: 0.000 0.500 0.000 x2
Pt: 0.000 0.000 0.500 x1
Au: 0.500 0.500 0.500 x1

=====

A plane-wave DFT calculation with PBE-GGA was carried out for an optimized crystal structure of Mn2Pt2Au.

Summary:
Spin magnetization ... 8.28 μB/f.u.
Density ... 14.2 g/cm3

Lattice parameters (Å, degrees): 7.502 7.502 2.892 90.00 90.00 90.00
Space group P4/mbm (No. 127)
Asymmetric unit:
Mn: 0.162 0.338 0.000 x4
Pt: 0.135 0.635 0.500 x4
Au: 0.000 0.000 0.500 x2

=====

A plane-wave DFT calculation with PBE-GGA was carried out for an optimized crystal structure of MnPt5Au2.

Summary:
Spin magnetization ... 4.94 μB/f.u.
Density ... 18.4 g/cm3

Lattice parameters (Å, degrees): 4.004 4.004 16.000 90.00 90.00 90.00
Space group I4/mmm (No. 139)
Asymmetric unit:
Mn: 0.000 0.000 0.000 x2
Pt: 0.000 0.000 0.500 x2
Pt: 0.000 0.500 0.118 x8
Au: 0.000 0.000 0.252 x4

=====

A plane-wave DFT calculation with PBE-GGA was carried out for an optimized crystal structure of Mn2PtAu.

Summary:
Spin magnetization ... 8.02 μB/f.u.
Density ... 13.2 g/cm3

Lattice parameters (Å, degrees): 6.325 6.325 6.325 90.00 90.00 90.00
Space group F-43m (No. 216)
Asymmetric unit:
Mn: 0.000 0.000 0.000 x4
Mn: 0.250 0.250 0.250 x4
Pt: 0.250 0.250 0.750 x4
Au: 0.000 0.000 0.500 x4

=====

A plane-wave DFT calculation with PBE-GGA was carried out for an optimized crystal structure of Mn3Pt5Au12.

Summary:
Spin magnetization ... 14.60 μB/f.u.
Density ... 12.8 g/cm3

Lattice parameters (Å, degrees): 15.395 15.395 15.395 90.00 90.00 90.00
Space group Ia-3d (No. 230)
Asymmetric unit:
Mn: 0.000 0.250 0.125 x24
Pt: 0.000 0.000 0.000 x16
Pt: 0.000 0.250 0.375 x24
Au: 0.008 0.074 0.653 x96

=====

A plane-wave DFT calculation with PBE-GGA was carried out for an optimized crystal structure of Mn2PtAu.

Summary:
Spin magnetization ... 8.26 μB/f.u.
Density ... 13.1 g/cm3

Lattice parameters (Å, degrees): 9.476 2.946 4.647 90.00 101.39 90.00
Space group Cm (No. 8)
Asymmetric unit:
Mn: 0.000 0.000 0.000 x2
Mn: 0.240 0.000 0.679 x2
Pt: 0.000 0.500 0.508 x2
Au: 0.246 0.500 0.182 x2

=====

A plane-wave DFT calculation with PBE-GGA was carried out for an optimized crystal structure of Mn2PtAu.

Summary:
Spin magnetization ... 8.52 μB/f.u.
Density ... 13.1 g/cm3

Lattice parameters (Å, degrees): 6.340 6.340 6.340 90.00 90.00 90.00
Space group Fm-3m (No. 225)
Asymmetric unit:
Mn: 0.250 0.250 0.250 x8
Pt: 0.000 0.000 0.000 x4
Au: 0.000 0.000 0.500 x4

=====

A plane-wave DFT calculation with PBE-GGA was carried out for an optimized crystal structure of MnPtAu.

Summary:
Spin magnetization ... 4.36 μB/f.u.
Density ... 15.2 g/cm3

Lattice parameters (Å, degrees): 4.4425 4.4425 2.8516 90.00 90.00 120.00
Space group P3m1 (No. 156)
Asymmetric unit:
Mn: 0.0000 0.0000 0.0000 x1
Pt: 0.3333 0.6667 0.2593 x1
Au: 0.6667 0.3333 0.6829 x1

=====

Number 1: E -20.6 eV for the cell shown, energy relative to the elements 0.889 eV per atom. Number 2: E -107.4 eV for the cell shown, energy relative to the elements -0.260 eV per atom. Number 3: E -69.6 eV for the cell shown, energy relative to the elements -0.223 eV per atom. Number 4: E -56.4 eV for the cell shown, energy relative to the elements -0.136 eV per atom. Number 5: E -28.3 eV for the cell shown, energy relative to the elements -0.157 eV per atom. Number 6: E -69.4 eV for the cell shown, energy relative to the elements -0.200 eV per atom. Number 7: E -94.2 eV for the cell shown, energy relative to the elements -0.144 eV per atom. Number 8: E -110.7 eV for the cell shown, energy relative to the elements -0.003 eV per atom. Number 9: E -698.2 eV for the cell shown, energy relative to the elements 0.488 eV per atom. Number 10: E -56.2 eV for the cell shown, energy relative to the elements -0.115 eV per atom. Number 11: E -113.2 eV for the cell shown, energy relative to the elements -0.159 eV per atom. Number 12: E -18.8 eV for the cell shown, energy relative to the elements -0.098 eV per atom.